Entry from Alexandria via LeMat-Bulk: ScPaPt2 after structural relaxation (PBE-GGA).

The structure in POSCAR format:
```
ScPaPt2
1.0
2.296 1.326 4.503
-2.296 1.326 4.503
0.000 -2.652 4.503
Sc Pa Pt
1 1 2
Direct
0.000 0.000 0.000
0.500 0.500 0.500
0.277 0.277 0.277
0.723 0.723 0.723
```

Calculated values
D(E_F) = 0.8725 states/eV/atom
energy above the lowest structure with this stoichiometry = 0 meV per atom